1.
Compound: SrDyAgS3
Source: OQMD via LeMat-Bulk
Functional: GGA-PBE
Structure: relaxed

a = 8.898 Å, b = 8.898 Å, c = 8.373 Å
α = 102.98°, β = 102.98°, γ = 25.82°
Positions (direct):
Sr 0.133 0.133 0.074
Sr 0.867 0.867 0.926
Dy 0.165 0.165 0.588
Dy 0.835 0.835 0.412
Ag 0.476 0.476 0.288
Ag 0.524 0.524 0.712
S 0.000 0.000 0.500
S 0.319 0.319 0.179
S 0.328 0.328 0.637
S 0.500 0.500 0.000
S 0.672 0.672 0.363
S 0.681 0.681 0.821

Magnetic moment in μB per atom: 0.00
Crystal system: monoclinic
Theoretical density in Mg/m³: 5.37
Volume in Å³/atom: 23.42

---

2.
Compound: Nd2NbInO6
Source: OQMD via LeMat-Bulk
Functional: GGA-PBE
Structure: relaxed

a = 5.790 Å, b = 5.790 Å, c = 5.790 Å
α = 121.43°, β = 121.43°, γ = 87.54°
Positions (direct):
Nd 0.250 0.750 0.500
Nd 0.750 0.250 0.500
Nb 0.000 0.000 0.000
In 0.500 0.500 0.000
O 0.163 0.672 0.835
O 0.248 0.248 0.000
O 0.328 0.163 0.491
O 0.672 0.837 0.509
O 0.752 0.752 0.000
O 0.837 0.328 0.165

Magnetic moment in μB per atom: 0.18
Crystal system: tetragonal
Theoretical density in Mg/m³: 7.33
Energy relative to the lowest polymorph listed for this composition in eV per atom: 0.000
Volume in Å³/atom: 13.42

---

3.
Compound: SrThIn
Source: OQMD via LeMat-Bulk
Functional: GGA-PBE
Structure: relaxed

a = 5.391 Å, b = 5.391 Å, c = 5.391 Å
α = 60.00°, β = 60.00°, γ = 60.00°
Positions (direct):
Sr 0.000 0.000 0.000
Th 0.750 0.750 0.750
In 0.250 0.250 0.250

Magnetic moment in μB per atom: 0.26
Crystal system: cubic
Theoretical density in Mg/m³: 6.51
Volume in Å³/atom: 36.93

---

4.
Compound: Rb2ZnO2
Source: OQMD via LeMat-Bulk
Functional: GGA-PBE
Structure: relaxed

a = 6.324 Å, b = 6.324 Å, c = 6.324 Å
α = 150.86°, β = 127.16°, γ = 61.48°
Positions (direct):
Rb 0.175 0.175 0.000
Rb 0.825 0.825 0.000
Zn 0.500 0.500 0.000
O 0.376 0.876 0.500
O 0.624 0.124 0.500

Crystal system: orthorhombic
Theoretical density in Mg/m³: 4.58
Volume in Å³/atom: 19.46

---

5.
Compound: ErF
Source: OQMD via LeMat-Bulk
Functional: GGA-PBE
Structure: relaxed

a = 3.799 Å, b = 3.799 Å, c = 3.799 Å
α = 60.00°, β = 60.00°, γ = 60.00°
Positions (direct):
Er 0.000 0.000 0.000
F 0.750 0.750 0.750

Magnetic moment in μB per atom: 0.01
Crystal system: cubic
Theoretical density in Mg/m³: 7.98
Energy relative to the lowest polymorph listed for this composition in eV per atom: 0.000
Volume in Å³/atom: 19.38

---

6.
Compound: LuIrNO
Source: OQMD via LeMat-Bulk
Functional: GGA-PBE
Structure: relaxed

a = 6.463 Å, b = 6.917 Å, c = 4.764 Å
α = 90.00°, β = 90.00°, γ = 90.00°
Positions (direct):
Lu 0.073 0.152 0.000
Lu 0.427 0.152 0.500
Lu 0.573 0.848 0.000
Lu 0.927 0.848 0.500
Ir 0.159 0.679 0.998
Ir 0.341 0.679 0.498
Ir 0.659 0.321 0.998
Ir 0.841 0.321 0.498
N 0.084 0.144 0.503
N 0.416 0.144 0.003
N 0.584 0.856 0.503
N 0.916 0.856 0.003
O 0.053 0.564 0.624
O 0.447 0.564 0.124
O 0.553 0.436 0.624
O 0.947 0.436 0.124

Magnetic moment in μB per atom: 0.12
Crystal system: orthorhombic
Theoretical density in Mg/m³: 12.39
Energy relative to the lowest polymorph listed for this composition in eV per atom: 0.255
Volume in Å³/atom: 13.31

---

Short version: calculated total energy = -62.38, -75.95, -9.42, -18.36, -10.98, -121.74 eV/cell, in the order given.